This record from Alexandria via LeMat-Bulk describes crystalline CsGa3Si at its relaxed geometry. The functional is PBE.

POSCAR file:
```
CsGa3Si
1.0
5.884 0.000 0.000
0.000 5.884 0.000
0.000 0.000 5.884
Cs Ga Si
1 3 1
Direct
0.000 0.000 0.000
0.000 0.000 0.500
0.000 0.500 0.000
0.500 0.000 0.000
0.500 0.500 0.500
```

## Properties
D(E_F) = 4.9 states/eV/f.u.
energy above the most stable polymorph in this dataset = 1627.1 meV/atom
uncorrected energy = -7.362 eV per cell
raw formation energy = 1.599 eV/atom


This record from Alexandria via LeMat-Bulk describes crystalline Tb3Pr3AgTe8 at its relaxed geometry. The functional is PBE.

POSCAR file:
```
Tb3Pr3AgTe8
1.0
4.429 2.557 7.256
-4.429 2.557 7.256
0.000 -5.115 7.256
Tb Pr Ag Te
3 3 1 8
Direct
0.000 0.500 0.500
0.500 0.000 0.500
0.500 0.500 0.000
0.000 0.000 0.500
0.000 0.500 0.000
0.500 0.000 0.000
0.000 0.000 0.000
0.251 0.251 0.741
0.251 0.741 0.251
0.254 0.254 0.254
0.259 0.749 0.749
0.741 0.251 0.251
0.746 0.746 0.746
0.749 0.259 0.749
0.749 0.749 0.259
```

## Properties
D(E_F) = 4.6 states/eV/f.u.
uncorrected energy = -74.986 eV per cell
raw formation energy = -1.251 eV/atom


This record from Alexandria via LeMat-Bulk describes crystalline Pr3NiHg at its relaxed geometry. The functional is PBE.

POSCAR file:
```
Pr3NiHg
1.0
5.405 0.000 0.000
0.000 5.405 0.000
0.000 0.000 5.405
Pr Ni Hg
3 1 1
Direct
0.000 0.000 0.500
0.000 0.500 0.000
0.500 0.000 0.000
0.000 0.000 0.000
0.500 0.500 0.500
```

## Properties
D(E_F) = 8.6 states/eV/f.u.
energy above the most stable polymorph in this dataset = 154.6 meV/atom
uncorrected energy = -20.767 eV per cell
energy of formation from the pure elements = -0.35 eV per formula unit


This record from Alexandria via LeMat-Bulk describes crystalline Sm3Al2In4 at its relaxed geometry. The functional is PBE.

POSCAR file:
```
Sm3Al2In4
1.0
5.588 -2.421 0.000
5.588 2.421 0.000
-3.846 0.000 8.271
Sm Al In
3 2 4
Direct
0.000 0.000 0.000
0.334 0.334 0.333
0.666 0.666 0.667
0.393 0.393 0.722
0.607 0.607 0.278
0.068 0.068 0.396
0.294 0.294 0.953
0.706 0.706 0.047
0.932 0.932 0.604
```

## Properties
D(E_F) = 4.9 states/eV/f.u.
uncorrected energy = -36.595 eV per cell
energy of formation from the pure elements = -4.00 eV per formula unit


- Which value of D(E_F) does entry 3 give?
  8.6 states/eV/f.u.


- Look up the D(E_F) of the third one.
  8.6 states/eV/f.u.


- Among the records above, which one has the lowest uncorrected energy?
  Tb3Pr3AgTe8


What did the third record say?
This record from Alexandria via LeMat-Bulk describes crystalline Pr3NiHg at its relaxed geometry. The functional is PBE.

POSCAR file:
```
Pr3NiHg
1.0
5.405 0.000 0.000
0.000 5.405 0.000
0.000 0.000 5.405
Pr Ni Hg
3 1 1
Direct
0.000 0.000 0.500
0.000 0.500 0.000
0.500 0.000 0.000
0.000 0.000 0.000
0.500 0.500 0.500
```

## Properties
D(E_F) = 8.6 states/eV/f.u.
energy above the most stable polymorph in this dataset = 154.6 meV/atom
uncorrected energy = -20.767 eV per cell
energy of formation from the pure elements = -0.35 eV per formula unit